Record 1
First-principles (PBE) data for crystalline CaBi2N at its relaxed geometry, as listed in Alexandria.

The structure in extended XYZ format:
```
8
Lattice="-4.794 -4.723 3.384 -0.242 -4.221 -6.234 0.388 -6.513 -0.156" Properties=species:S:1:pos:R:3 pbc="T T T"
Ca 0.000 0.000 0.000
Ca -3.462 -7.854 0.901
Bi -2.426 -4.612 0.941
Bi -1.157 -5.352 -3.158
Bi -1.623 -8.682 -1.841
Bi -4.090 -12.268 -1.957
N -2.518 -4.472 -1.425
N -1.186 -7.603 -3.908
```

Computed properties:
Space-group type ... I-42d, No. 122
M_tot ... 0.0 μB per formula unit
V ... 214 Å³/cell
Total energy ... -4.24 eV per atom
Formation energy (no corrections) ... 281 meV/atom



Record 2
First-principles (PBE) data for crystalline Ca2PrGe3Pt4 at its relaxed geometry, as listed in Alexandria.

The structure in extended XYZ format:
```
10
Lattice="4.384 0.000 0.000 0.000 4.384 0.000 0.000 0.000 11.150" Properties=species:S:1:pos:R:3 pbc="T T T"
Ca 2.192 0.000 2.468
Ca 0.000 2.192 8.682
Pr 2.192 2.192 5.575
Ge 0.000 0.000 5.575
Ge 2.192 0.000 9.860
Ge 0.000 2.192 1.290
Pt 2.192 2.192 0.000
Pt 0.000 0.000 0.000
Pt 2.192 0.000 7.441
Pt 0.000 2.192 3.709
```

Computed properties:
Space-group type ... P-4m2, No. 115
M_tot ... 0.0 μB per formula unit
V ... 214 Å³/cell
ΔH_f (0 K) ... -8.18 eV/f.u.
Total energy ... -5.50 eV per atom



Record 3
First-principles (PBE) data for crystalline CeSm4Ho2 at its relaxed geometry, as listed in Alexandria.

The structure in extended XYZ format:
```
7
Lattice="5.985 0.000 0.000 0.000 6.198 0.000 0.000 -3.099 6.451" Properties=species:S:1:pos:R:3 pbc="T T T"
Ce 0.000 3.099 0.000
Sm 2.992 3.099 1.740
Sm 0.000 3.099 3.882
Sm 2.992 0.000 4.711
Sm 0.000 0.000 2.569
Ho 2.992 0.000 1.474
Ho 2.992 3.099 4.977
```

Computed properties:
Space-group type ... Cmmm, No. 65
M_tot ... 1.4 μB per formula unit
V ... 239 Å³/cell
ΔH_f (0 K) ... 3.61 eV/f.u.
Energy above the most stable polymorph in this dataset ... 474 meV/atom
Total energy ... -4.34 eV per atom



Record 4
First-principles (PBE) data for crystalline Pm2SnP at its relaxed geometry, as listed in Alexandria.

The structure in extended XYZ format:
```
4
Lattice="-3.047 1.879 -3.888 -3.861 -2.995 -2.014 -5.055 1.211 0.955" Properties=species:S:1:pos:R:3 pbc="T T T"
P 0.000 0.000 0.000
Sn -5.981 0.047 -2.473
Pm -2.991 0.024 -1.237
Pm -8.972 0.071 -3.710
```

Computed properties:
Space-group type ... Fm-3m, No. 225
M_tot ... 0.0 μB per formula unit
V ... 104 Å³/cell
ΔH_f (0 K) ... -2.56 eV/f.u.
Energy above the most stable polymorph in this dataset ... 503 meV/atom
Total energy ... -5.37 eV per atom